Entry one
# Sm2GdSn

A geometry-optimized Sm2GdSn structure (PBE, Alexandria via LeMat-Bulk).

space-group type	P4/mmm (123)

a b c (Å): 4.2203 4.2203 6.7830
angles (deg): 90.00 90.00 90.00
Closest atoms and distances in Å follow each position.
Fractional positions:
1 Gd 0.5000 0.5000 0.0000  2 Sn 3.39, 8 Sm 3.50
2 Sn 0.5000 0.5000 0.5000  8 Sm 3.36, 2 Gd 3.39
3 Sm 0.0000 0.0000 0.7292  1 Sm 3.11, 4 Sn 3.36
4 Sm 0.0000 0.0000 0.2708  1 Sm 3.11, 4 Sn 3.36



Entry two
# Sm2GdSn

A geometry-optimized Sm2GdSn structure (PBE, Alexandria via LeMat-Bulk).

space-group type	Fm-3m (225)

a b c (Å): 5.4879 5.4879 5.4879
angles (deg): 60.00 60.00 60.00
Closest atoms and distances in Å follow each position.
Fractional positions:
1 Gd 0.5000 0.5000 0.5000  8 Sm 3.36
2 Sn 0.0000 0.0000 0.0000  8 Sm 3.36
3 Sm 0.2500 0.2500 0.2500  4 Sn 3.36, 4 Gd 3.36
4 Sm 0.7500 0.7500 0.7500  4 Gd 3.36, 4 Sn 3.36



The least stable of them is entry two.



Entry one
# SrSmGd

A geometry-optimized SrSmGd structure (PBE, Alexandria via LeMat-Bulk).

space-group type	P3m1 (156)

a b c (Å): 3.7687 3.7687 9.3655
angles (deg): 90.00 90.00 120.00
Closest atoms and distances in Å follow each position.
Fractional positions:
1 Sr 0.0000 0.0000 0.9998  6 Sr 3.77, 3 Sm 3.96, 3 Gd 3.96
2 Gd 0.6667 0.3333 0.3533  3 Sm 3.51, 6 Gd 3.77
3 Sm 0.3333 0.6667 0.6469  3 Gd 3.51, 6 Sm 3.77



Entry two
# SrSmGd

A geometry-optimized SrSmGd structure (PBE, Alexandria via LeMat-Bulk).

space-group type	I4mm (107)

a b c (Å): 3.7676 3.7676 8.5352
angles (deg): 102.75 102.75 90.00
Closest atoms and distances in Å follow each position.
Fractional positions:
1 Sr 0.9993 0.9993 0.9987  4 Sr 3.77, 4 Sm 3.94, 4 Gd 3.97
2 Gd 0.6807 0.6807 0.3614  4 Sm 3.49, 4 Gd 3.77
3 Sm 0.3199 0.3199 0.6399  4 Gd 3.49, 4 Sm 3.77



The least stable of them is entry one.



Entry one
# SrSmGd2

A geometry-optimized SrSmGd2 structure (PBE, Alexandria via LeMat-Bulk).

space-group type	P4/mmm (123)

a b c (Å): 3.7083 3.7083 10.7124
angles (deg): 90.00 90.00 90.00
Closest atoms and distances in Å follow each position.
Fractional positions:
1 Sr 0.5000 0.5000 0.5000  4 Sr 3.71, 8 Gd 3.96
2 Gd 0.0000 0.0000 0.7774  4 Sm 3.54, 4 Gd 3.71, 4 Sr 3.96
3 Gd 0.0000 0.0000 0.2226  4 Sm 3.54, 4 Gd 3.71, 4 Sr 3.96
4 Sm 0.5000 0.5000 0.0000  8 Gd 3.54, 4 Sm 3.71



Entry two
# SrSmGd2

A geometry-optimized SrSmGd2 structure (PBE, Alexandria via LeMat-Bulk).

space-group type	R-3m (166)

a b c (Å): 3.6457 3.6457 13.0217
angles (deg): 81.95 81.95 60.00
Closest atoms and distances in Å follow each position.
Fractional positions:
1 Sr 0.0000 0.0000 0.0000  2 Gd 3.55, 6 Sr 3.65
2 Gd 0.0922 0.0922 0.7235  1 Sr 3.55, 3 Sm 3.56, 6 Gd 3.65
3 Gd 0.9078 0.9078 0.2765  1 Sr 3.55, 3 Sm 3.56, 6 Gd 3.65
4 Sm 0.5000 0.5000 0.5000  6 Gd 3.56, 6 Sm 3.65



The least stable of them is entry two.



Entry one
# TbSm2Gd

A geometry-optimized TbSm2Gd structure (PBE, Alexandria via LeMat-Bulk).

space-group type	R-3m (166)

a b c (Å): 3.5186 3.5186 12.6806
angles (deg): 82.03 82.03 60.00
Closest atoms and distances in Å follow each position.
Fractional positions:
1 Gd 0.5000 0.5000 0.5000  6 Gd 3.52, 6 Sm 3.55
2 Tb 0.0000 0.0000 0.0000  2 Sm 3.34, 6 Tb 3.52
3 Sm 0.0891 0.0891 0.7328  1 Tb 3.34, 6 Sm 3.52, 3 Gd 3.55
4 Sm 0.9109 0.9109 0.2672  1 Tb 3.34, 6 Sm 3.52, 3 Gd 3.55



Entry two
# TbSm2Gd

A geometry-optimized TbSm2Gd structure (PBE, Alexandria via LeMat-Bulk).

space-group type	Fm-3m (225)

a b c (Å): 5.7331 5.7331 5.7331
angles (deg): 60.00 60.00 60.00
Closest atoms and distances in Å follow each position.
Fractional positions:
1 Gd 0.5000 0.5000 0.5000  8 Sm 3.51
2 Tb 0.0000 0.0000 0.0000  8 Sm 3.51
3 Sm 0.2500 0.2500 0.2500  4 Gd 3.51, 4 Tb 3.51
4 Sm 0.7500 0.7500 0.7500  4 Gd 3.51, 4 Tb 3.51



The least stable of them is entry one.